P | Here is a relaxed GeAs3O crystal from the Alexandria database. Energies are from PBE.

Lattice parameters (Å, degrees): 4.9233 4.9233 4.9233 90.00 90.00 90.00
Last column: magnetic moment on the atom in μB.
Fractional positions:
As: 0.0000 0.5000 0.0000  0.06
As: 0.5000 0.0000 0.0000  0.07
As: 0.0000 0.0000 0.5000  0.04
O: 0.5000 0.5000 0.5000  1.10
Ge: 0.0000 0.0000 0.0000  -0.01

Summary:
The volume comes out at 119.3 Å³/cell. Its theoretical density is 4361 kg/m3.

Q | Here is a relaxed GeAs3O crystal from the Alexandria database. Energies are from PBE.

Lattice parameters (Å, degrees): 4.4526 4.4526 4.4526 90.00 90.00 90.00
Fractional positions:
As: 0.0000 0.0000 0.5000
As: 0.0000 0.5000 0.0000
As: 0.5000 0.0000 0.0000
O: 0.0000 0.0000 0.0000
Ge: 0.5000 0.5000 0.5000

Summary:
The volume comes out at 88.3 Å³/cell. Its theoretical density is 5896 kg/m3.

Most stable structure: Q